Below is crystalline ErGaAu at its relaxed geometry, with properties calculated at the PBE-GGA level.

abc: 5.787 5.787 5.787
angles: 145.38 145.38 49.78
Sites, in units of the cell vectors:
Er1 0.000 0.000 0.000
Ga1 0.685 0.685 0.000
Au1 0.326 0.326 0.000

**M_tot**: 0.00 μB per formula unit
**Energy of formation from the pure elements**: -559 meV per atom
**D(E_F)**: 2.19 states/eV/f.u.

Below is crystalline Cs3LiHg2F8 at its relaxed geometry, with properties calculated at the PBE-GGA level.

abc: 6.317 6.317 8.596
angles: 90.00 90.00 120.00
Sites, in units of the cell vectors:
Cs1 0.000 0.000 0.000
Cs2 0.333 0.667 0.629
Cs3 0.667 0.333 0.371
Li1 0.000 0.000 0.500
Hg1 0.333 0.667 0.209
Hg2 0.667 0.333 0.791
F1 0.157 0.313 0.342
F2 0.157 0.843 0.342
F3 0.313 0.157 0.658
F4 0.333 0.667 0.961
F5 0.667 0.333 0.039
F6 0.687 0.843 0.342
F7 0.843 0.157 0.658
F8 0.843 0.687 0.658

**M_tot**: 0.00 μB per formula unit
**ΔE_f (raw)**: -2153.7 meV/atom
**D(E_F)**: 0.00 states/eV/f.u.

Below is crystalline Nd6TmTl5 at its relaxed geometry, with properties calculated at the PBE-GGA level.

abc: 7.826 7.826 6.444
angles: 98.37 98.37 95.85
Sites, in units of the cell vectors:
Nd1 0.044 0.405 0.730
Nd2 0.217 0.217 0.211
Nd3 0.405 0.044 0.730
Nd4 0.595 0.956 0.270
Nd5 0.783 0.783 0.789
Nd6 0.956 0.595 0.270
Tm1 0.500 0.500 0.000
Tl1 0.000 0.000 0.500
Tl2 0.212 0.788 0.000
Tl3 0.366 0.634 0.500
Tl4 0.634 0.366 0.500
Tl5 0.788 0.212 0.000

**M_tot**: 0.00 μB per formula unit
**Energy of formation from the pure elements**: -185 meV per atom
**D(E_F)**: 11.77 states/eV/f.u.

Below is crystalline Fe2AsPt at its relaxed geometry, with properties calculated at the PBE-GGA level.

abc: 4.712 4.712 4.712
angles: 132.30 132.30 69.75
Sites, in units of the cell vectors:
Fe1 0.000 0.000 0.000
Fe2 0.750 0.250 0.500
As1 0.500 0.500 0.000
Pt1 0.250 0.750 0.500

**M_tot**: 5.73 μB per formula unit
**Energy of formation from the pure elements**: 3 meV per atom
**D(E_F)**: 3.56 states/eV/f.u.